#w
5
Lattice="4.423 0.000 0.000 0.000 4.423 0.000 0.000 0.000 6.586" Properties=species:S:1:pos:R:3 comment="PBE+U KCoPO2, optimized geometry" magmom_total_mub_per_fu=6.5 pbc="T T T"
K 0.000 0.000 0.000
Co 2.211 2.211 3.293
P 0.000 0.000 3.293
O 0.000 2.211 0.000
O 2.211 0.000 0.000

***

#x
5
Lattice="4.138 0.000 0.000 0.000 4.138 0.000 0.000 0.000 4.253" Properties=species:S:1:pos:R:3 comment="PBE+U KCoPO2, optimized geometry" magmom_total_mub_per_fu=1.8 pbc="T T T"
K 0.000 0.000 0.000
Co 2.069 2.069 2.127
P 2.069 2.069 0.000
O 0.000 2.069 2.127
O 2.069 0.000 2.127

***

Verdict on stability: #w comes out at the bottom.